(1)
A relaxed Pu3Mg2Pt3 crystal. Source: the Alexandria database, functional GGA-PBE.

It has space group Immm (No. 71), with a = 3.795 Å, b = 4.463 Å, c = 20.304 Å, α = 90.00°, β = 90.00° and γ = 90.00°. The inequivalent atoms are Pu at (0.000, 0.000, 0.000), Pu at (0.000, 0.500, 0.116), Mg at (0.000, 0.000, 0.250), Pt at (0.000, 0.000, 0.500) and Pt at (0.000, 0.500, 0.344).

The formation enthalpy at 0 K comes out at -0.575 eV/atom.


(2)
A relaxed PuMg4Pt2 crystal. Source: the Alexandria database, functional GGA-PBE.

It has space group P4_2/mnm (No. 136), with a = 8.580 Å, b = 8.580 Å, c = 3.965 Å, α = 90.00°, β = 90.00° and γ = 90.00°. The inequivalent atoms are Pu at (0.000, 0.000, 0.000), Mg at (0.095, 0.332, 0.500) and Pt at (0.185, 0.815, 0.500).

The formation enthalpy at 0 K comes out at -0.566 eV/atom.


(3)
A relaxed Pu3MgPt4 crystal. Source: the Alexandria database, functional GGA-PBE.

It has space group Pmmm (No. 47), with a = 3.059 Å, b = 5.140 Å, c = 10.252 Å, α = 90.00°, β = 90.00° and γ = 90.00°. The inequivalent atoms are Pu at (0.000, 0.000, 0.000), Pu at (0.000, 0.500, 0.255), Mg at (0.000, 0.000, 0.500), Pt at (0.500, 0.000, 0.267), Pt at (0.500, 0.500, 0.000) and Pt at (0.500, 0.500, 0.500).

The formation enthalpy at 0 K comes out at -0.725 eV/atom.


(4)
A relaxed PuMg3Pt2 crystal. Source: the Alexandria database, functional GGA-PBE.

It has space group Pmc2_1 (No. 26), with a = 4.134 Å, b = 8.409 Å, c = 6.979 Å, α = 90.00°, β = 90.00° and γ = 90.00°. The inequivalent atoms are Pu at (0.000, 0.080, 0.000), Mg at (0.000, 0.321, 0.606), Mg at (0.500, 0.203, 0.329), Mg at (0.500, 0.422, 0.930), Pt at (0.000, 0.381, 0.222) and Pt at (0.500, 0.117, 0.709).

The formation enthalpy at 0 K comes out at -0.692 eV/atom.


no.,electronic total energy (eV/atom)
1,-8.61
2,-5.25
3,-9.32
4,-5.89